*1*
Material: Na2Tl7Sn2
Method: DFT, PBE
State: optimized geometry

Space-group type = Imm2 (44)

Geometry as POSCAR:
```
Na2Tl7Sn2
1.0
4.894 0.000 -0.954
-0.898 7.949 -4.611
-0.802 -0.279 8.920
Na Tl Sn
2 7 2
Direct
0.000 0.633 0.000 Na
0.500 0.310 0.000 Na
0.158 0.057 0.317 Tl
0.155 0.500 0.311 Tl
0.500 0.939 0.000 Tl
0.348 0.468 0.695 Tl
0.652 0.773 0.305 Tl
0.842 0.740 0.683 Tl
0.845 0.190 0.689 Tl
0.301 0.923 0.602 Sn
0.699 0.321 0.398 Sn
```

=====

*2*
Material: Na2Tl7Sn2
Method: DFT, PBE
State: optimized geometry

Space-group type = C2/m (12)

Geometry as POSCAR:
```
Na2Tl7Sn2
1.0
-4.180 5.034 -2.274
-0.331 -5.181 -5.085
-4.252 -4.337 3.990
Na Tl Sn
2 7 2
Direct
0.500 0.199 0.801 Na
0.500 0.801 0.199 Na
0.172 0.456 0.907 Tl
0.828 0.093 0.544 Tl
0.828 0.544 0.093 Tl
0.172 0.907 0.456 Tl
0.203 0.432 0.432 Tl
0.000 0.000 0.000 Tl
0.797 0.568 0.568 Tl
0.524 0.750 0.750 Sn
0.476 0.250 0.250 Sn
```

=====

*1* is the most stable structure shown above.